VASP calculation (PBE) on an optimized crystal structure of PrThP.

Cell: 6.7052 3.9939 3.9939 Å, 120.00 90.00 90.00°
Last column: magnetic moment on the atom in μB.
Sites, in units of the cell vectors:
Pr: 0.7443 0.6667 0.3333  0.13
P: 0.0027 0.0000 0.0000  -0.01
Th: 0.2530 0.3333 0.6667  -0.12

## Properties
- formation energy (eV per atom) = -0.828
- calculated volume (A^3/atom) = 30.88
- ΔE to the lowest computed polymorph (eV per formula unit) = 0.147
- calculated density (Mg/m³) = 7.24
- VASP energy (eV per formula unit) = -20.093
- N(E_F) (states/eV per cell) = 2.27
- SG = P3m1